The following is a PBE-GGA calculation of crystalline PaBePd2 at its relaxed geometry, from the Alexandria database.

The structure in extended XYZ format:
```
4
Lattice="3.024 0.000 0.000 0.000 3.024 0.000 0.000 0.000 7.005" Properties=species:S:1:pos:R:3 pbc="T T T"
Pd 0.000 0.000 1.353
Pd 0.000 0.000 5.653
Pa 1.512 1.512 3.503
Be 1.512 1.512 0.000
```

Calculated values
E_form   -440.7 meV per atom
Energy above the lowest structure with this stoichiometry   11 meV/atom

---

The following is a PBE-GGA calculation of crystalline Tb2ErTm at its relaxed geometry, from the Alexandria database.

The structure in extended XYZ format:
```
4
Lattice="3.549 0.000 0.000 1.775 3.074 0.000 1.775 1.025 11.358" Properties=species:S:1:pos:R:3 pbc="T T T"
Tb 1.775 1.025 2.864
Tb 1.775 1.025 8.500
Tm 3.549 2.049 5.672
Er 3.549 2.049 0.002
```

Calculated values
E_form   10.1 meV per atom
Energy above the lowest structure with this stoichiometry   6 meV/atom

---

The following is a PBE-GGA calculation of crystalline U4Ge6Ir7 at its relaxed geometry, from the Alexandria database.

The structure in extended XYZ format:
```
17
Lattice="6.895 0.000 -2.438 -3.448 5.972 -2.438 0.000 0.000 7.314" Properties=species:S:1:pos:R:3 pbc="T T T"
Ge 4.734 0.000 3.347
Ge 2.367 4.100 -3.347
Ge -2.367 4.100 3.347
Ge -1.081 1.872 1.528
Ge 1.081 1.872 -1.528
Ge 2.161 0.000 1.528
U 0.000 0.000 3.657
U 1.724 2.986 1.219
U 3.448 0.000 -1.219
U -1.724 2.986 -1.219
Ir 2.586 1.493 3.657
Ir 0.000 0.000 0.000
Ir 0.000 2.986 3.657
Ir 0.862 4.479 -1.219
Ir -0.862 4.479 1.219
Ir 4.310 1.493 1.219
Ir 3.448 2.986 -1.219
```

Calculated values
E_form   -522.9 meV per atom